## NaOs3Au (PBE)

Data for NaOs3Au after structural relaxation.

Unit cell a=4.467 b=4.467 c=4.467 alpha=90.00 beta=90.00 gamma=90.00
Space group Pm-3m (No. 221)
Symmetry-distinct sites (fractional):
Na1 0.000 0.000 0.000
Os1 0.000 0.000 0.500
Au1 0.500 0.500 0.500

Results
Formation energy from the elements ... 295.5 kJ per mole of atoms
V ... 17.82 A^3/atom
Crystal system ... cubic
Energy above the most stable polymorph in this dataset ... 1.719 eV/f.u.
Electronic total energy ... -4.595 eV/atom
Magnetization ... 3.6 μB/f.u.

=====

## Be3GaPd (PBE)

Data for Be3GaPd after structural relaxation.

Unit cell a=4.254 b=4.254 c=4.254 alpha=90.00 beta=90.00 gamma=90.00
Space group Pm-3m (No. 221)
Symmetry-distinct sites (fractional):
Be1 0.000 0.000 0.500
Ga1 0.500 0.500 0.500
Pd1 0.000 0.000 0.000

Results
Formation energy from the elements ... 41.1 kJ per mole of atoms
V ... 15.40 A^3/atom
Crystal system ... cubic
Energy above the most stable polymorph in this dataset ... 0.000 eV/f.u.
Electronic total energy ... -3.454 eV/atom
Magnetization ... 0.0 μB/f.u.

=====

## NaLi6Hg (PBE)

Data for NaLi6Hg after structural relaxation.

Unit cell a=4.657 b=4.657 c=15.041 alpha=90.00 beta=90.00 gamma=90.00
Space group I4/mmm (No. 139)
Symmetry-distinct sites (fractional):
Na1 0.000 0.000 0.000
Li1 0.000 0.000 0.257
Li2 0.000 0.500 0.125
Hg1 0.000 0.000 0.500

Results
Formation energy from the elements ... -8.7 kJ per mole of atoms
V ... 20.39 A^3/atom
Crystal system ... tetragonal
Electronic total energy ... -1.728 eV/atom
Magnetization ... 0.0 μB/f.u.

=====

## Li4CoAg (PBE)

Data for Li4CoAg after structural relaxation.

Unit cell a=6.947 b=6.947 c=6.947 alpha=90.00 beta=90.00 gamma=90.00
Space group F-43m (No. 216)
Symmetry-distinct sites (fractional):
Li1 0.124 0.124 0.376
Co1 0.250 0.250 0.750
Ag1 0.000 0.000 0.000

Results
Formation energy from the elements ... 26.5 kJ per mole of atoms
V ... 13.97 A^3/atom
Crystal system ... cubic
Electronic total energy ... -2.661 eV/atom
Magnetization ... 1.0 μB/f.u.

=====

Q: Number 3 is which compound?
A: NaLi6Hg

=====

Q: Which of these has the lowest formation energy from the elements?
A: NaLi6Hg